Crystalline La2CF at its relaxed geometry, computed with PBE. Values from VASP.

Geometry as Quantum ESPRESSO input:
```
&SYSTEM
  ibrav = 0, nat = 8, ntyp = 3
/
ATOMIC_SPECIES
C 12.01 C.upf
F 19.00 F.upf
La 138.91 La.upf
CELL_PARAMETERS angstrom
-0.283 0.063 -5.791
0.760 -5.748 -0.100
-5.567 -3.614 -2.671
ATOMIC_POSITIONS crystal
C 0.500 0.500 0.000
C 0.250 0.750 0.500
F 0.000 0.000 0.000
F 0.750 0.250 0.500
La 0.604 0.125 0.250
La 0.146 0.625 0.250
La 0.375 0.396 0.750
La 0.875 0.854 0.750
```

Computed properties:
**V**: 24.6 Å³ per atom
**E**: -6.48 eV/atom
**E above lowest polymorph**: 0.239 eV/atom